Record 1
DFT (PBE) results for a geometry-optimized CsInRhF6 structure.

Geometry as extended XYZ:
```
9
Lattice="-3.8826 -1.2974 3.9922 -1.7146 -5.5407 0.8267 4.8136 -0.6807 4.3467" Properties=species:S:1:pos:R:3 pbc="T T T"
F 0.0223 -6.4588 5.2084
In 0.5051 -2.6020 3.8227
F 0.4227 -3.2764 5.7809
Cs -1.7853 -5.5058 0.9112
F -0.9834 -1.1629 3.7203
F -0.9143 -4.1945 3.4848
F -1.7654 -5.2790 7.4007
Rh -1.3474 -4.8894 5.4113
F -2.8854 -3.5443 5.7396
```

The calculation puts the raw total energy at -41.3 eV/cell. The spin magnetization is 0.0990 μB/atom. The calculation puts the formation energy without anion corrections at -2124 meV/atom. The symmetry is C2 (5).

---

Record 2
DFT (PBE) results for a geometry-optimized Cs2InRhF6 structure.

Geometry as extended XYZ:
```
10
Lattice="-4.1210 -1.6635 -4.6687 4.8985 -2.2911 -3.5074 -0.1453 -6.0772 -2.1558" Properties=species:S:1:pos:R:3 pbc="T T T"
F 2.7985 -2.1450 -3.7778
In 0.0000 0.0000 0.0000
Cs -1.9388 -4.8590 -5.4563
F 0.5292 -5.8611 -7.2776
Cs 2.5710 -5.1728 -4.8757
F 0.1810 -0.9208 -1.9037
Rh 0.3888 -1.9773 -4.0881
F -2.0210 -1.8096 -4.3983
F 0.1030 -4.1706 -3.0544
F 0.5965 -3.0339 -6.2725
```

The calculation puts the raw total energy at -44.7 eV/cell. The spin magnetization is 0.2000 μB/atom. The calculation puts the formation energy without anion corrections at -2163 meV/atom. Its density of states at the Fermi level is 0.0 states/eV per cell. The symmetry is Fm-3m (225).

---

Record 3
DFT (PBE) results for a geometry-optimized Cs2InRuF6 structure.

Geometry as extended XYZ:
```
10
Lattice="6.6051 0.0000 0.0000 0.0000 6.6051 0.0000 3.3025 3.3025 4.6700" Properties=species:S:1:pos:R:3 pbc="T T T"
Cs 6.6051 3.3025 2.3350
F 3.3025 3.3025 2.0448
Cs 3.3025 6.6051 2.3350
In 0.0000 0.0000 0.0000
F 6.6051 6.6051 2.6252
Ru 3.3025 3.3025 0.0000
F 4.7484 1.8567 0.0000
F 1.8567 4.7484 0.0000
F 1.8567 1.8567 0.0000
F 4.7484 4.7484 0.0000
```

The calculation puts the raw total energy at -46.2 eV/cell. The spin magnetization is 0.1000 μB/atom. The calculation puts the formation energy without anion corrections at -2129 meV/atom. Its density of states at the Fermi level is 6.6 states/eV per cell. The symmetry is Fm-3m (225).

---

Record 4
DFT (PBE) results for a geometry-optimized CsInSF2 structure.

Geometry as extended XYZ:
```
5
Lattice="-2.8920 -3.1055 -2.0396 3.0600 -3.4568 0.9245 -2.1824 -0.7848 4.2893" Properties=species:S:1:pos:R:3 pbc="T T T"
In 0.0000 0.0000 0.0000
F 1.5300 -1.7284 0.4622
Cs -1.0072 -3.6736 1.5871
F -1.4460 -1.5528 -1.0198
S -1.0912 -0.3924 2.1447
```

The calculation puts the raw total energy at -20.4 eV/cell. The spin magnetization is 0.0000 μB/atom. The calculation puts the formation energy without anion corrections at -1794 meV/atom. Its density of states at the Fermi level is 1.7 states/eV per cell. The symmetry is P4/mmm (123).

---

Record 5
DFT (PBE) results for a geometry-optimized Cs2InSF6 structure.

Geometry as extended XYZ:
```
10
Lattice="6.1487 0.0000 0.0000 0.0000 6.1487 0.0000 3.0744 3.0744 5.5288" Properties=species:S:1:pos:R:3 pbc="T T T"
F 4.6347 1.5141 0.0000
F 6.1487 6.1487 2.0817
F 1.5141 1.5141 0.0000
F 3.0744 3.0744 3.4471
F 4.6347 4.6347 0.0000
S 3.0744 3.0744 0.0000
F 1.5141 4.6347 0.0000
In 0.0000 0.0000 0.0000
Cs 6.1487 3.0744 2.7644
Cs 3.0744 6.1487 2.7644
```

The calculation puts the raw total energy at -40.4 eV/cell. The spin magnetization is 0.1000 μB/atom. The calculation puts the formation energy without anion corrections at -2059 meV/atom. Its density of states at the Fermi level is 2.2 states/eV per cell. The symmetry is I4/mmm (139).

---

Record 6
DFT (PBE) results for a geometry-optimized Cs2InSbF6 structure.

Geometry as extended XYZ:
```
10
Lattice="6.8835 0.0000 0.0000 3.4417 5.9613 0.0000 3.4417 1.9871 5.6203" Properties=species:S:1:pos:R:3 pbc="T T T"
Cs 3.4417 1.9871 1.4051
F 6.8835 2.1654 1.5312
F 8.4499 3.0698 4.0892
F 5.3170 3.0698 4.0892
F 8.4499 4.8786 1.5312
F 6.8835 5.7830 4.0892
F 5.3170 4.8786 1.5312
Cs 10.3252 5.9613 4.2153
Sb 6.8835 3.9742 2.8102
In 0.0000 0.0000 0.0000
```

The calculation puts the raw total energy at -43.9 eV/cell. The spin magnetization is 0.0000 μB/atom. The calculation puts the formation energy without anion corrections at -2406 meV/atom. Its density of states at the Fermi level is 0.0 states/eV per cell. The symmetry is Fm-3m (225).

---

Record 7
DFT (PBE) results for a geometry-optimized Cs2ScInF6 structure.

Geometry as extended XYZ:
```
10
Lattice="-2.4695 -5.4487 2.9909 1.2835 -6.0648 -2.5107 4.0900 -4.1707 3.2572" Properties=species:S:1:pos:R:3 pbc="T T T"
In 1.4520 -7.8421 1.8687
F 1.5476 -8.8506 4.3538
F 3.6773 -9.2002 1.2319
Cs 0.7260 -3.9210 0.9343
Sc 0.0000 0.0000 0.0000
F 2.9490 -5.7587 2.6566
Cs 2.1780 -11.7631 2.8030
F -0.0450 -9.9254 1.0808
F -0.7733 -6.4839 2.5055
F 1.3564 -6.8335 -0.6164
```

The calculation puts the raw total energy at -52.8 eV/cell. The spin magnetization is 0.0000 μB/atom. The calculation puts the formation energy without anion corrections at -3075 meV/atom. Its density of states at the Fermi level is 0.0 states/eV per cell. The symmetry is Fm-3m (225).

---

Record 8
DFT (PBE) results for a geometry-optimized CsScInF6 structure.

Geometry as extended XYZ:
```
9
Lattice="-3.3277 -4.4559 -2.3651 2.6548 -5.0846 -1.8994 -0.7025 -2.4531 5.5963" Properties=species:S:1:pos:R:3 pbc="T T T"
F 0.0973 -5.4444 -0.2641
F 0.6672 -2.8274 0.9525
In -0.8010 -7.5895 -0.0351
F -1.4747 -6.2130 1.7365
Cs -0.0010 -0.0041 0.0089
Sc -0.5751 -4.4067 1.3740
F -2.0995 -3.5660 0.2867
F -1.6186 -3.5181 2.8999
F 0.9777 -4.8634 2.6325
```

The calculation puts the raw total energy at -48.7 eV/cell. The spin magnetization is 0.0671 μB/atom. The calculation puts the formation energy without anion corrections at -3064 meV/atom. Its density of states at the Fermi level is 3.3 states/eV per cell. The symmetry is P1 (1).

---

Q: The highest raw total energy belongs to which entry?
A: CsInSF2

---

Q: Among the records above, which one has the lowest formation energy without anion corrections?
A: Cs2ScInF6

---

Q: The lowest raw total energy belongs to which entry?
A: Cs2ScInF6